Compound: HoBeAu4
Source: OQMD
Functional: PBE
Structure: optimized geometry

Cell: 3.3938 3.3938 9.5474 Å, 90.00 90.00 90.00°
Positions (direct):
Ho 0.0000 0.0000 0.0000
Be 0.5000 0.5000 0.5000
Au 0.0000 0.0000 0.3596
Au 0.0000 0.0000 0.6404
Au 0.5000 0.5000 0.1863
Au 0.5000 0.5000 0.8137

Properties
The value obtained for the total magnetization is 0.00 μB/f.u. The value obtained for the total energy is -23.3 eV/cell. Its calculated density is 14.52 g cm⁻³.

---

Compound: KRb2PtCl6
Source: OQMD
Functional: PBE
Structure: optimized geometry

Cell: 7.5572 7.5572 7.5572 Å, 60.00 60.00 60.00°
Positions (direct):
K 0.0000 0.0000 0.0000
Rb 0.2500 0.2500 0.2500
Rb 0.7500 0.7500 0.7500
Pt 0.5000 0.5000 0.5000
Cl 0.2732 0.2732 0.7268
Cl 0.2732 0.7268 0.2732
Cl 0.2732 0.7268 0.7268
Cl 0.7268 0.2732 0.2732
Cl 0.7268 0.2732 0.7268
Cl 0.7268 0.7268 0.2732

Properties
The value obtained for the total magnetization is 1.00 μB/f.u. The value obtained for the total energy is -33.0 eV/cell. Its calculated density is 3.36 g cm⁻³.

---

The highest calculated density belongs to which entry? HoBeAu4